[1]
This record from Alexandria describes BaZn2Ru after structural relaxation. The functional is PBEsol.

The calculation puts the total energy at -3.821 eV/atom. As for the density of states at the Fermi level: 0.65 states/eV/atom.

The structure belongs to space group C2/m (No. 12); the cell edges are 7.4922, 4.3086 and 6.1552 Å and the angles 90.00°, 113.65° and 90.00°. The distinct sites, in fractional coordinates, are Ba at (0.0000, 0.0000, 0.0000), Zn at (0.1927, 0.0000, 0.5772) and Ru at (0.0000, 0.5000, 0.5000).

---

[2]
This record from Alexandria describes Ba3ZrRu after structural relaxation. The functional is PBEsol.

The calculation puts the total energy at -4.272 eV/atom. As for the density of states at the Fermi level: 2.09 states/eV/atom.

The structure belongs to space group Pm-3m (No. 221); the cell edges are 5.7421, 5.7421 and 5.7421 Å and the angles 90.00°, 90.00° and 90.00°. The distinct sites, in fractional coordinates, are Ba at (0.0000, 0.0000, 0.5000), Zr at (0.5000, 0.5000, 0.5000) and Ru at (0.0000, 0.0000, 0.0000).

---

[3]
This record from Alexandria describes BaSbS3 after structural relaxation. The functional is PBEsol.

The calculation puts the total energy at -4.883 eV/atom. As for the density of states at the Fermi level: 0.41 states/eV/atom.

The structure belongs to space group Pm-3m (No. 221); the cell edges are 5.0398, 5.0398 and 5.0398 Å and the angles 90.00°, 90.00° and 90.00°. The distinct sites, in fractional coordinates, are Ba at (0.0000, 0.0000, 0.0000), Sb at (0.5000, 0.5000, 0.5000) and S at (0.0000, 0.5000, 0.5000).

---

> What is the formula in the third record?

BaSbS3